Computed, not measured: La2IrPt after structural relaxation at the PBE level of DFT.

Computed properties:
energy relative to the elements = -0.59 eV per atom

abc: 7.814 7.814 6.462
angles: 90.00 90.00 90.00
Element x y z (fractional)
La 0.239 0.750 0.125
La 0.250 0.239 0.875
La 0.250 0.261 0.375
La 0.261 0.750 0.625
La 0.739 0.250 0.625
La 0.750 0.739 0.375
La 0.750 0.761 0.875
La 0.761 0.250 0.125
Ir 0.000 0.000 0.000
Ir 0.000 0.500 0.250
Ir 0.500 0.000 0.750
Ir 0.500 0.500 0.500
Pt 0.000 0.000 0.500
Pt 0.000 0.500 0.750
Pt 0.500 0.000 0.250
Pt 0.500 0.500 0.000

---

Computed, not measured: LaIr2Pt after structural relaxation at the PBE level of DFT.

Computed properties:
energy relative to the elements = 0.35 eV per atom

abc: 2.902 2.902 29.218
angles: 90.00 90.00 120.00
Element x y z (fractional)
La 0.000 0.000 0.000
La 0.333 0.667 0.667
La 0.667 0.333 0.333
Ir 0.000 0.000 0.241
Ir 0.000 0.000 0.759
Ir 0.333 0.667 0.425
Ir 0.333 0.667 0.908
Ir 0.667 0.333 0.092
Ir 0.667 0.333 0.575
Pt 0.000 0.000 0.500
Pt 0.333 0.667 0.167
Pt 0.667 0.333 0.833

---

Computed, not measured: LaIrPt2 after structural relaxation at the PBE level of DFT.

Computed properties:
energy relative to the elements = -0.41 eV per atom

abc: 4.210 4.228 8.474
angles: 90.00 90.00 90.00
Element x y z (fractional)
La 0.000 0.000 0.000
La 0.500 0.500 0.500
Ir 0.000 0.000 0.500
Ir 0.500 0.500 0.000
Pt 0.000 0.500 0.249
Pt 0.000 0.500 0.751
Pt 0.500 0.000 0.251
Pt 0.500 0.000 0.749

---

Computed, not measured: LaIrPt2 after structural relaxation at the PBE level of DFT.

Computed properties:
energy relative to the elements = -0.68 eV per atom

abc: 7.860 4.537 5.545
angles: 90.00 118.29 90.00
Element x y z (fractional)
La 0.000 0.000 0.000
La 0.500 0.500 0.000
Ir 0.191 0.000 0.573
Ir 0.691 0.500 0.573
Pt 0.022 0.500 0.565
Pt 0.303 0.500 0.408
Pt 0.522 0.000 0.565
Pt 0.803 0.000 0.408

---

Computed, not measured: La3Ir7Pt2 after structural relaxation at the PBE level of DFT.

Computed properties:
energy relative to the elements = -0.64 eV per atom

abc: 9.463 9.463 9.463
angles: 33.25 33.25 33.25
Element x y z (fractional)
La 0.000 0.000 0.000
La 0.140 0.140 0.140
La 0.860 0.860 0.860
Ir 0.082 0.582 0.582
Ir 0.418 0.418 0.918
Ir 0.418 0.918 0.418
Ir 0.500 0.500 0.500
Ir 0.582 0.082 0.582
Ir 0.582 0.582 0.082
Ir 0.918 0.418 0.418
Pt 0.333 0.333 0.333
Pt 0.667 0.667 0.667

---

Computed, not measured: LaIr2Pt after structural relaxation at the PBE level of DFT.

Computed properties:
energy relative to the elements = 0.25 eV per atom

abc: 2.896 2.896 29.446
angles: 90.00 90.00 120.00
Element x y z (fractional)
La 0.000 0.000 0.000
La 0.333 0.667 0.667
La 0.667 0.333 0.333
Ir 0.000 0.000 0.498
Ir 0.000 0.000 0.760
Ir 0.333 0.667 0.164
Ir 0.333 0.667 0.427
Ir 0.667 0.333 0.093
Ir 0.667 0.333 0.831
Pt 0.000 0.000 0.240
Pt 0.333 0.667 0.907
Pt 0.667 0.333 0.574

---

Computed, not measured: LaIr2Pt after structural relaxation at the PBE level of DFT.

Computed properties:
energy relative to the elements = -0.14 eV per atom

abc: 4.198 4.198 8.350
angles: 90.00 90.00 90.00
Element x y z (fractional)
La 0.000 0.000 0.000
La 0.500 0.500 0.500
Ir 0.000 0.500 0.250
Ir 0.000 0.500 0.750
Ir 0.500 0.000 0.250
Ir 0.500 0.000 0.750
Pt 0.000 0.000 0.500
Pt 0.500 0.500 0.000

---

Computed, not measured: La4IrPt after structural relaxation at the PBE level of DFT.

Computed properties:
energy relative to the elements = -0.69 eV per atom

abc: 9.007 9.007 7.223
angles: 106.45 106.45 123.00
Element x y z (fractional)
La 0.038 0.437 0.242
La 0.197 0.294 0.745
La 0.294 0.197 0.245
La 0.437 0.038 0.742
La 0.563 0.962 0.258
La 0.706 0.803 0.755
La 0.803 0.706 0.255
La 0.962 0.563 0.758
Ir 0.082 0.918 0.750
Ir 0.918 0.082 0.250
Pt 0.416 0.584 0.250
Pt 0.584 0.416 0.750

---

Computed, not measured: La2IrPt after structural relaxation at the PBE level of DFT.

Computed properties:
energy relative to the elements = -0.72 eV per atom

abc: 4.020 4.172 11.741
angles: 90.00 90.00 90.00
Element x y z (fractional)
La 0.000 0.000 0.000
La 0.000 0.500 0.239
La 0.500 0.000 0.739
La 0.500 0.500 0.500
Ir 0.000 0.000 0.456
Ir 0.500 0.500 0.956
Pt 0.000 0.500 0.773
Pt 0.500 0.000 0.273

---

Computed, not measured: La8IrPt2 after structural relaxation at the PBE level of DFT.

Computed properties:
energy relative to the elements = -0.61 eV per atom

abc: 9.782 9.782 9.144
angles: 93.97 93.97 24.13
Element x y z (fractional)
La 0.006 0.006 0.211
La 0.223 0.223 0.336
La 0.346 0.346 0.025
La 0.403 0.403 0.466
La 0.597 0.597 0.534
La 0.654 0.654 0.975
La 0.777 0.777 0.664
La 0.994 0.994 0.789
Ir 0.500 0.500 0.000
Pt 0.168 0.168 0.737
Pt 0.832 0.832 0.263

---

Computed, not measured: La3IrPt after structural relaxation at the PBE level of DFT.

Computed properties:
energy relative to the elements = -0.29 eV per atom

abc: 5.512 5.512 5.512
angles: 90.00 90.00 90.00
Element x y z (fractional)
La 0.000 0.000 0.500
La 0.000 0.500 0.000
La 0.500 0.000 0.000
Ir 0.000 0.000 0.000
Pt 0.500 0.500 0.500

---

Computed, not measured: La8Ir3Pt after structural relaxation at the PBE level of DFT.

Computed properties:
energy relative to the elements = -0.57 eV per atom

abc: 9.291 9.291 9.310
angles: 107.42 107.42 36.52
Element x y z (fractional)
La 0.000 0.000 0.000
La 0.107 0.107 0.642
La 0.220 0.220 0.350
La 0.324 0.324 0.003
La 0.432 0.432 0.655
La 0.541 0.541 0.313
La 0.780 0.780 0.686
La 0.890 0.890 0.329
Ir 0.054 0.054 0.313
Ir 0.271 0.271 0.682
Ir 0.376 0.376 0.315
Pt 0.946 0.946 0.674

---

Computed, not measured: LaIrPt4 after structural relaxation at the PBE level of DFT.

Computed properties:
energy relative to the elements = -0.36 eV per atom

abc: 5.379 5.379 5.379
angles: 60.00 60.00 60.00
Element x y z (fractional)
La 0.000 0.000 0.000
Ir 0.250 0.250 0.250
Pt 0.129 0.624 0.624
Pt 0.624 0.129 0.624
Pt 0.624 0.624 0.129
Pt 0.624 0.624 0.624